(w)
Ce2SmHo after structural relaxation. Source: Alexandria via LeMat-Bulk, functional PBE-GGA.

DOS(E_F) in states/eV/f.u.: 10.00

a b c (Å): 3.4955 3.4955 34.7357
angles (deg): 90.00 90.00 120.00
Space group R3m (No. 160, hexagonal axes)
Symmetry-distinct sites (fractional):
Ce1 0.0000 0.0000 0.0000 (multiplicity 3)
Ce2 0.0000 0.0000 0.1683 (multiplicity 3)
Sm1 0.0000 0.0000 0.7523 (multiplicity 3)
Ho1 0.0000 0.0000 0.5829 (multiplicity 3)


(x)
Ce2SmHo after structural relaxation. Source: Alexandria via LeMat-Bulk, functional PBE-GGA.

DOS(E_F) in states/eV/f.u.: 10.26

a b c (Å): 4.919 4.919 5.080
angles (deg): 90.00 90.00 90.00
Space group P4/mmm (No. 123)
Symmetry-distinct sites (fractional):
Ce1 0.000 0.500 0.000 (multiplicity 2)
Sm1 0.000 0.000 0.500 (multiplicity 1)
Ho1 0.500 0.500 0.500 (multiplicity 1)


It turns out (w) is the most stable, with the second structure 8 meV/atom higher.


(w)
KTaRh2 after structural relaxation. Source: Alexandria via LeMat-Bulk, functional PBE-GGA.

DOS(E_F) in states/eV/f.u.: 2.41

a b c (Å): 3.252 5.833 9.116
angles (deg): 90.00 90.00 90.00
Space group Immm (No. 71)
Symmetry-distinct sites (fractional):
K1 0.000 0.000 0.000 (multiplicity 2)
Ta1 0.000 0.000 0.500 (multiplicity 2)
Rh1 0.000 0.500 0.203 (multiplicity 4)


(x)
KTaRh2 after structural relaxation. Source: Alexandria via LeMat-Bulk, functional PBE-GGA.

DOS(E_F) in states/eV/f.u.: 3.24

a b c (Å): 4.893 4.893 2.989
angles (deg): 90.00 90.00 90.00
Space group P4/mmm (No. 123)
Symmetry-distinct sites (fractional):
K1 0.000 0.000 0.000 (multiplicity 1)
Ta1 0.500 0.500 0.000 (multiplicity 1)
Rh1 0.000 0.500 0.500 (multiplicity 2)


It turns out (x) is the most stable, with the second structure 13 meV/atom higher.


(w)
SmEr2Ru after structural relaxation. Source: Alexandria via LeMat-Bulk, functional PBE-GGA.

DOS(E_F) in states/eV/f.u.: 6.19

a b c (Å): 3.4816 3.4816 32.2439
angles (deg): 90.00 90.00 120.00
Space group R-3m (No. 166, hexagonal axes)
Symmetry-distinct sites (fractional):
Sm1 0.0000 0.0000 0.0000 (multiplicity 3)
Er1 0.0000 0.0000 0.1082 (multiplicity 6)
Ru1 0.0000 0.0000 0.5000 (multiplicity 3)


(x)
SmEr2Ru after structural relaxation. Source: Alexandria via LeMat-Bulk, functional PBE-GGA.

DOS(E_F) in states/eV/f.u.: 3.41

a b c (Å): 3.893 12.031 9.090
angles (deg): 90.00 90.00 90.00
Space group Cmcm (No. 63)
Symmetry-distinct sites (fractional):
Sm1 0.000 0.074 0.250 (multiplicity 4)
Er1 0.000 0.355 0.068 (multiplicity 8)
Ru1 0.000 0.256 0.750 (multiplicity 4)


It turns out (x) is the most stable, with the second structure 374 meV/atom higher.


(w)
AuBrO after structural relaxation. Source: Alexandria via LeMat-Bulk, functional PBE-GGA.

DOS(E_F) in states/eV/f.u.: 2.65

a b c (Å): 3.057 3.301 5.478
angles (deg): 90.00 90.00 90.00
Space group Pmmm (No. 47)
Symmetry-distinct sites (fractional):
Au1 0.000 0.000 0.000 (multiplicity 1)
Br1 0.000 0.000 0.500 (multiplicity 1)
O1 0.500 0.500 0.000 (multiplicity 1)


(x)
AuBrO after structural relaxation. Source: Alexandria via LeMat-Bulk, functional PBE-GGA.

DOS(E_F) in states/eV/f.u.: 0.02

a b c (Å): 5.145 5.712 6.126
angles (deg): 91.08 100.48 115.45
Space group P-1 (No. 2)
Symmetry-distinct sites (fractional):
Au1 0.000 0.000 0.000 (multiplicity 1)
Au2 0.500 0.500 0.000 (multiplicity 1)
Br1 0.237 0.874 0.728 (multiplicity 2)
O1 0.198 0.543 0.759 (multiplicity 2)


It turns out (x) is the most stable, with the second structure 97 meV/atom higher.


(w)
BPOs2 after structural relaxation. Source: Alexandria via LeMat-Bulk, functional PBE-GGA.

DOS(E_F) in states/eV/f.u.: 1.18

a b c (Å): 5.690 5.690 5.690
angles (deg): 90.00 90.00 90.00
Space group Fm-3m (No. 225)
Symmetry-distinct sites (fractional):
B1 0.000 0.000 0.000 (multiplicity 4)
P1 0.000 0.000 0.500 (multiplicity 4)
Os1 0.250 0.250 0.250 (multiplicity 8)


(x)
BPOs2 after structural relaxation. Source: Alexandria via LeMat-Bulk, functional PBE-GGA.

DOS(E_F) in states/eV/f.u.: 0.01

a b c (Å): 5.022 5.022 9.782
angles (deg): 90.00 90.00 90.00
Space group I-42d (No. 122)
Symmetry-distinct sites (fractional):
B1 0.000 0.000 0.000 (multiplicity 4)
P1 0.000 0.000 0.500 (multiplicity 4)
Os1 0.217 0.250 0.125 (multiplicity 8)


It turns out (w) is the most stable, with the second structure 153 meV/atom higher.


(w)
PbC after structural relaxation. Source: Alexandria via LeMat-Bulk, functional PBE-GGA.

DOS(E_F) in states/eV/f.u.: 0.51

a b c (Å): 11.864 3.735 7.721
angles (deg): 90.00 127.46 90.00
Space group Cm (No. 8)
Symmetry-distinct sites (fractional):
Pb1 0.000 0.000 0.000 (multiplicity 2)
Pb2 0.148 0.500 0.503 (multiplicity 2)
Pb3 0.340 0.500 0.316 (multiplicity 2)
C1 0.226 0.000 0.053 (multiplicity 2)
C2 0.253 0.000 0.911 (multiplicity 2)
C3 0.288 0.000 0.776 (multiplicity 2)


(x)
PbC after structural relaxation. Source: Alexandria via LeMat-Bulk, functional PBE-GGA.

DOS(E_F) in states/eV/f.u.: 1.12

a b c (Å): 4.656 4.656 3.455
angles (deg): 90.00 90.00 90.00
Space group P4/nmm (No. 129, origin choice 2)
Symmetry-distinct sites (fractional):
Pb1 0.250 0.750 0.000 (multiplicity 2)
C1 0.250 0.250 0.254 (multiplicity 2)


It turns out (w) is the most stable, with the second structure 1294 meV/atom higher.